Arrangement A

A relaxed structure of BaCoCu2. Source: Alexandria via LeMat-Bulk, functional GGA-PBEsol.

Results
Total magnetization in μB/f.u.: 1.45
Crystal system: orthorhombic
Symmetry: No. 71

Cell: 5.073 5.073 5.073 Å, 132.82 112.32 86.59°
Fractional coordinates of all 4 atoms:
Ba (0.000, 0.000, 0.000)
Co (0.500, 0.500, 0.000)
Cu (0.334, 0.834, 0.500)
Cu (0.666, 0.166, 0.500)

=====

Arrangement B

A relaxed structure of BaCoCu2. Source: Alexandria via LeMat-Bulk, functional GGA-PBEsol.

Results
Total magnetization in μB/f.u.: 0.82
Crystal system: tetragonal
Symmetry: No. 139

Cell: 5.242 5.242 5.242 Å, 135.78 135.78 64.32°
Fractional coordinates of all 4 atoms:
Ba (0.000, 0.000, 0.000)
Co (0.500, 0.500, 0.000)
Cu (0.250, 0.750, 0.500)
Cu (0.750, 0.250, 0.500)

=====

Of them, arrangement B has the lowest stability.

=====

Arrangement A

A relaxed structure of BaEr2CoO5. Source: Alexandria via LeMat-Bulk, functional GGA-PBEsol.

Results
Total magnetization in μB/f.u.: 2.25
Crystal system: orthorhombic
Symmetry: No. 71

Cell: 6.589 6.589 6.589 Å, 147.90 128.94 61.60°
Fractional coordinates of all 9 atoms:
Ba (0.000, 0.000, 0.000)
Er (0.297, 0.797, 0.500)
Er (0.703, 0.203, 0.500)
Co (0.500, 0.500, 0.000)
O (0.109, 0.349, 0.760)
O (0.411, 0.651, 0.760)
O (0.500, 0.000, 0.500)
O (0.589, 0.349, 0.240)
O (0.891, 0.651, 0.240)

=====

Arrangement B

A relaxed structure of BaEr2CoO5. Source: Alexandria via LeMat-Bulk, functional GGA-PBEsol.

Results
Total magnetization in μB/f.u.: 2.99
Crystal system: orthorhombic
Symmetry: No. 62

Cell: 12.077 5.634 6.934 Å, 90.00 90.00 90.00°
Fractional coordinates of all 36 atoms:
Ba (0.100, 0.250, 0.080)
Ba (0.400, 0.750, 0.580)
Ba (0.600, 0.250, 0.420)
Ba (0.900, 0.750, 0.920)
Er (0.075, 0.750, 0.405)
Er (0.208, 0.250, 0.621)
Er (0.292, 0.750, 0.121)
Er (0.425, 0.250, 0.905)
Er (0.575, 0.750, 0.095)
Er (0.708, 0.250, 0.879)
Er (0.792, 0.750, 0.379)
Er (0.925, 0.250, 0.595)
Co (0.153, 0.750, 0.809)
Co (0.347, 0.250, 0.309)
Co (0.653, 0.750, 0.691)
Co (0.847, 0.250, 0.191)
O (0.064, 0.504, 0.670)
O (0.064, 0.996, 0.670)
O (0.104, 0.750, 0.077)
O (0.225, 0.000, 0.363)
O (0.225, 0.500, 0.363)
O (0.275, 0.000, 0.863)
O (0.275, 0.500, 0.863)
O (0.396, 0.250, 0.577)
O (0.436, 0.004, 0.170)
O (0.436, 0.496, 0.170)
O (0.564, 0.504, 0.830)
O (0.564, 0.996, 0.830)
O (0.604, 0.750, 0.423)
O (0.725, 0.000, 0.137)
O (0.725, 0.500, 0.137)
O (0.775, 0.000, 0.637)
O (0.775, 0.500, 0.637)
O (0.896, 0.250, 0.923)
O (0.936, 0.004, 0.330)
O (0.936, 0.496, 0.330)

=====

Of them, arrangement B has the lowest stability.

=====

Arrangement A

A relaxed structure of BaFeCo2. Source: Alexandria via LeMat-Bulk, functional GGA-PBEsol.

Results
Total magnetization in μB/f.u.: 4.07
Crystal system: trigonal
Symmetry: No. 166

Cell: 6.022 6.022 6.022 Å, 38.78 38.78 38.78°
Fractional coordinates of all 4 atoms:
Ba (0.000, 0.000, 0.000)
Fe (0.500, 0.500, 0.500)
Co (0.186, 0.186, 0.186)
Co (0.814, 0.814, 0.814)

=====

Arrangement B

A relaxed structure of BaFeCo2. Source: Alexandria via LeMat-Bulk, functional GGA-PBEsol.

Results
Total magnetization in μB/f.u.: 4.50
Crystal system: monoclinic
Symmetry: No. 10

Cell: 4.105 3.917 5.219 Å, 90.00 101.76 90.00°
Fractional coordinates of all 4 atoms:
Ba (0.000, 0.000, 0.000)
Fe (0.500, 0.000, 0.500)
Co (0.262, 0.500, 0.580)
Co (0.738, 0.500, 0.420)

=====

Of them, arrangement B has the lowest stability.

=====

Arrangement A

A relaxed structure of KBa2Co. Source: Alexandria via LeMat-Bulk, functional GGA-PBEsol.

Results
Total magnetization in μB/f.u.: 0.49
Crystal system: cubic
Symmetry: No. 216

Cell: 5.797 5.797 5.797 Å, 60.00 60.00 60.00°
Fractional coordinates of all 4 atoms:
K (0.000, 0.000, 0.000)
Ba (0.250, 0.250, 0.250)
Ba (0.500, 0.500, 0.500)
Co (0.750, 0.750, 0.750)

=====

Arrangement B

A relaxed structure of KBa2Co. Source: Alexandria via LeMat-Bulk, functional GGA-PBEsol.

Results
Total magnetization in μB/f.u.: 0.46
Crystal system: monoclinic
Symmetry: No. 10

Cell: 3.802 3.802 11.187 Å, 90.00 90.23 90.00°
Fractional coordinates of all 4 atoms:
K (0.000, 0.000, 0.000)
Ba (0.499, 0.500, 0.342)
Ba (0.501, 0.500, 0.658)
Co (0.000, 0.000, 0.500)

=====

Arrangement C

A relaxed structure of KBa2Co. Source: Alexandria via LeMat-Bulk, functional GGA-PBEsol.

Results
Total magnetization in μB/f.u.: 0.29
Crystal system: tetragonal
Symmetry: No. 99

Cell: 4.134 4.134 11.086 Å, 90.00 90.00 90.00°
Fractional coordinates of all 4 atoms:
K (0.000, 0.000, 0.000)
Ba (0.000, 0.000, 0.606)
Ba (0.500, 0.500, 0.320)
Co (0.500, 0.500, 0.545)

=====

Of them, arrangement A has the lowest stability.

=====

Arrangement A

A relaxed structure of BaMn2Co. Source: Alexandria via LeMat-Bulk, functional GGA-PBEsol.

Results
Total magnetization in μB/f.u.: 3.79
Crystal system: tetragonal
Symmetry: No. 123

Cell: 3.126 3.126 7.211 Å, 90.00 90.00 90.00°
Fractional coordinates of all 4 atoms:
Ba (0.000, 0.000, 0.000)
Mn (0.500, 0.500, 0.362)
Mn (0.500, 0.500, 0.638)
Co (0.000, 0.000, 0.500)

=====

Arrangement B

A relaxed structure of BaMn2Co. Source: Alexandria via LeMat-Bulk, functional GGA-PBEsol.

Results
Total magnetization in μB/f.u.: 7.65
Crystal system: cubic
Symmetry: No. 216

Cell: 4.651 4.651 4.651 Å, 60.00 60.00 60.00°
Fractional coordinates of all 4 atoms:
Ba (0.000, 0.000, 0.000)
Mn (0.500, 0.500, 0.500)
Mn (0.750, 0.750, 0.750)
Co (0.250, 0.250, 0.250)

=====

Arrangement C

A relaxed structure of BaMn2Co. Source: Alexandria via LeMat-Bulk, functional GGA-PBEsol.

Results
Total magnetization in μB/f.u.: 8.56
Crystal system: orthorhombic
Symmetry: No. 65

Cell: 4.737 4.737 3.378 Å, 90.00 90.00 107.04°
Fractional coordinates of all 4 atoms:
Ba (0.000, 0.000, 0.000)
Mn (0.000, 0.500, 0.500)
Mn (0.500, 0.000, 0.500)
Co (0.500, 0.500, 0.000)

=====

Arrangement D

A relaxed structure of BaMn2Co. Source: Alexandria via LeMat-Bulk, functional GGA-PBEsol.

Results
Total magnetization in μB/f.u.: 8.13
Crystal system: cubic
Symmetry: No. 225

Cell: 4.673 4.673 4.673 Å, 60.00 60.00 60.00°
Fractional coordinates of all 4 atoms:
Ba (0.000, 0.000, 0.000)
Mn (0.250, 0.250, 0.250)
Mn (0.750, 0.750, 0.750)
Co (0.500, 0.500, 0.500)

=====

Of them, arrangement D has the lowest stability.

=====

Arrangement A

A relaxed structure of BaCo2Mo. Source: Alexandria via LeMat-Bulk, functional GGA-PBEsol.

Results
Total magnetization in μB/f.u.: 0.30
Crystal system: trigonal
Symmetry: No. 166

Cell: 6.220 6.220 6.220 Å, 38.26 38.26 38.26°
Fractional coordinates of all 4 atoms:
Ba (0.000, 0.000, 0.000)
Co (0.190, 0.190, 0.190)
Co (0.810, 0.810, 0.810)
Mo (0.500, 0.500, 0.500)

=====

Arrangement B

A relaxed structure of BaCo2Mo. Source: Alexandria via LeMat-Bulk, functional GGA-PBEsol.

Results
Total magnetization in μB/f.u.: 2.08
Crystal system: trigonal
Symmetry: No. 160

Cell: 6.293 6.293 6.293 Å, 37.54 37.54 37.54°
Fractional coordinates of all 4 atoms:
Ba (0.000, 0.000, 0.000)
Co (0.190, 0.190, 0.190)
Co (0.519, 0.519, 0.519)
Mo (0.813, 0.813, 0.813)

=====

Arrangement C

A relaxed structure of BaCo2Mo. Source: Alexandria via LeMat-Bulk, functional GGA-PBEsol.

Results
Total magnetization in μB/f.u.: 1.43
Crystal system: cubic
Symmetry: No. 216

Cell: 4.497 4.497 4.497 Å, 60.00 60.00 60.00°
Fractional coordinates of all 4 atoms:
Ba (0.000, 0.000, 0.000)
Co (0.500, 0.500, 0.500)
Co (0.750, 0.750, 0.750)
Mo (0.250, 0.250, 0.250)

=====

Of them, arrangement C has the lowest stability.

=====

Arrangement A

A relaxed structure of Ba2CoRe. Source: Alexandria via LeMat-Bulk, functional GGA-PBEsol.

Results
Total magnetization in μB/f.u.: 2.05
Crystal system: tetragonal
Symmetry: No. 123

Cell: 5.806 5.806 3.049 Å, 90.00 90.00 90.00°
Fractional coordinates of all 4 atoms:
Ba (0.000, 0.500, 0.000)
Ba (0.500, 0.000, 0.000)
Co (0.000, 0.000, 0.500)
Re (0.500, 0.500, 0.500)

=====

Arrangement B

A relaxed structure of Ba2CoRe. Source: Alexandria via LeMat-Bulk, functional GGA-PBEsol.

Results
Total magnetization in μB/f.u.: 1.82
Crystal system: orthorhombic
Symmetry: No. 47

Cell: 3.036 3.602 9.063 Å, 90.00 90.00 90.00°
Fractional coordinates of all 4 atoms:
Ba (0.000, 0.000, 0.244)
Ba (0.000, 0.000, 0.756)
Co (0.500, 0.500, 0.000)
Re (0.500, 0.500, 0.500)

=====

Of them, arrangement A has the lowest stability.

=====

Arrangement A

A relaxed structure of BaCo2Ru. Source: Alexandria via LeMat-Bulk, functional GGA-PBEsol.

Results
Total magnetization in μB/f.u.: 3.94
Crystal system: orthorhombic
Symmetry: No. 44

Cell: 5.470 5.470 5.470 Å, 148.35 124.75 65.08°
Fractional coordinates of all 4 atoms:
Ba (0.000, 0.000, 0.000)
Co (0.511, 0.511, 0.000)
Co (0.705, 0.205, 0.500)
Ru (0.299, 0.799, 0.500)

=====

Arrangement B

A relaxed structure of BaCo2Ru. Source: Alexandria via LeMat-Bulk, functional GGA-PBEsol.

Results
Total magnetization in μB/f.u.: 4.18
Crystal system: orthorhombic
Symmetry: No. 71

Cell: 5.516 5.516 5.516 Å, 147.71 122.70 67.32°
Fractional coordinates of all 4 atoms:
Ba (0.000, 0.000, 0.000)
Co (0.297, 0.797, 0.500)
Co (0.703, 0.203, 0.500)
Ru (0.500, 0.500, 0.000)

=====

Of them, arrangement B has the lowest stability.

=====

Arrangement A

A relaxed structure of Ba2SrCo. Source: Alexandria via LeMat-Bulk, functional GGA-PBEsol.

Results
Total magnetization in μB/f.u.: 0.42
Crystal system: orthorhombic
Symmetry: No. 44

Cell: 7.363 7.363 7.363 Å, 149.46 130.61 59.19°
Fractional coordinates of all 4 atoms:
Ba (0.000, 0.000, 0.000)
Ba (0.671, 0.171, 0.500)
Sr (0.342, 0.342, 0.000)
Co (0.169, 0.669, 0.500)

=====

Arrangement B

A relaxed structure of Ba2SrCo. Source: Alexandria via LeMat-Bulk, functional GGA-PBEsol.

Results
Total magnetization in μB/f.u.: 0.01
Crystal system: orthorhombic
Symmetry: No. 71

Cell: 7.284 7.284 7.284 Å, 149.26 130.31 59.58°
Fractional coordinates of all 4 atoms:
Ba (0.169, 0.169, 0.000)
Ba (0.831, 0.831, 0.000)
Sr (0.500, 0.000, 0.500)
Co (0.000, 0.500, 0.500)

=====

Arrangement C

A relaxed structure of Ba2SrCo. Source: Alexandria via LeMat-Bulk, functional GGA-PBEsol.

Results
Total magnetization in μB/f.u.: 0.00
Crystal system: orthorhombic
Symmetry: No. 65

Cell: 7.422 7.422 4.178 Å, 90.00 90.00 132.52°
Fractional coordinates of all 4 atoms:
Ba (0.149, 0.851, 0.000)
Ba (0.851, 0.149, 0.000)
Sr (0.500, 0.500, 0.500)
Co (0.000, 0.000, 0.500)

=====

Of them, arrangement A has the lowest stability.

=====

Arrangement A

A relaxed structure of Ba2CoTc. Source: Alexandria via LeMat-Bulk, functional GGA-PBEsol.

Results
Total magnetization in μB/f.u.: 3.81
Crystal system: cubic
Symmetry: No. 216

Cell: 5.165 5.165 5.165 Å, 60.00 60.00 60.00°
Fractional coordinates of all 4 atoms:
Ba (0.000, 0.000, 0.000)
Ba (0.250, 0.250, 0.250)
Co (0.750, 0.750, 0.750)
Tc (0.500, 0.500, 0.500)

=====

Arrangement B

A relaxed structure of Ba2CoTc. Source: Alexandria via LeMat-Bulk, functional GGA-PBEsol.

Results
Total magnetization in μB/f.u.: 0.00
Crystal system: orthorhombic
Symmetry: No. 44

Cell: 6.823 6.823 6.823 Å, 146.81 137.93 54.60°
Fractional coordinates of all 4 atoms:
Ba (0.000, 0.000, 0.000)
Ba (0.724, 0.224, 0.500)
Co (0.400, 0.400, 0.000)
Tc (0.317, 0.817, 0.500)

=====

Of them, arrangement A has the lowest stability.